(1)
Zr3RuRh: relaxed, PBE-GGA.

Cell: 4.9355 4.9355 4.9355 Å, 90.00 90.00 90.00°
Atoms (fractional coordinates):
Rh 0.5000 0.5000 0.5000
Zr 0.0000 0.5000 0.0000
Zr 0.0000 0.0000 0.5000
Zr 0.5000 0.0000 0.0000
Ru 0.0000 0.0000 0.0000

## Properties
calculated formation energy = 0.451 eV/atom
relative energy among the computed polymorphs = 0.00 kcal/mol of atoms



(2)
Ac2Tb6Y3: relaxed, PBE-GGA.

Cell: 6.2286 6.2308 12.0584 Å, 85.05 80.05 60.01°
Atoms (fractional coordinates):
Y 0.6653 0.6695 0.0000
Y 0.0000 0.0000 0.0000
Y 0.3347 0.3305 0.0000
Tb 0.0803 0.3334 0.7597
Tb 0.7468 0.0000 0.7593
Tb 0.9197 0.6666 0.2403
Tb 0.2532 0.0000 0.2407
Tb 0.4137 0.6666 0.7597
Tb 0.5863 0.3334 0.2403
Ac 0.1668 0.6663 0.5000
Ac 0.8332 0.3337 0.5000

## Properties
calculated formation energy = 0.187 eV/atom



(3)
Nd2TmNpO8: relaxed, PBE-GGA.

Cell: 3.9180 5.5362 7.5406 Å, 90.02 90.00 94.50°
Atoms (fractional coordinates):
O 0.9665 0.2273 0.7767
O 0.4882 0.2424 0.4999
O 0.0336 0.7728 0.7769
O 0.5118 0.7576 0.5001
O 0.0335 0.7727 0.2233
O 0.9664 0.2272 0.2231
O 0.4466 0.2169 0.0000
O 0.5534 0.7831 0.0000
Nd 0.5000 0.5001 0.2589
Nd 0.5000 0.4999 0.7411
Np 0.0000 0.0000 0.0000
Tm 0.0000 0.0000 0.5000



(4)
ZrGa2Fe: relaxed, PBE-GGA.

Cell: 4.0651 4.0028 4.0028 Å, 90.00 90.00 90.00°
Atoms (fractional coordinates):
Ga 0.0000 0.0000 0.5000
Ga 0.0000 0.5000 0.0000
Fe 0.5000 0.5000 0.5000
Zr 0.5000 0.0000 0.0000

## Properties
calculated formation energy = -0.319 eV/atom



(5)
BeRhBr: relaxed, PBE-GGA.

Cell: 6.2221 5.8302 3.1342 Å, 81.98 68.10 29.92°
Atoms (fractional coordinates):
Be 0.0017 0.0017 0.9983
Rh 0.6389 0.6389 0.3611
Br 0.3594 0.3594 0.6406

## Properties
relative energy among the computed polymorphs = 15.94 kcal/mol of atoms



(6)
La5Se: relaxed, PBE-GGA.

Cell: 6.5808 6.5808 6.5808 Å, 60.00 60.00 60.00°
Atoms (fractional coordinates):
La 0.6219 0.6219 0.1344
La 0.1344 0.6219 0.6219
La 0.2500 0.2500 0.2500
La 0.6219 0.6219 0.6219
La 0.6219 0.1344 0.6219
Se 0.0000 0.0000 0.0000

## Properties
relative energy among the computed polymorphs = 14.42 kcal/mol of atoms



(7)
Hg2TeH4: relaxed, PBE-GGA.

Cell: 9.4470 4.9182 4.8304 Å, 58.94 57.56 38.18°
Atoms (fractional coordinates):
Te 0.0000 0.0000 0.0000
Hg 0.7553 0.6575 0.4143
Hg 0.2447 0.3425 0.5857
H 0.6389 0.1364 0.7717
H 0.4917 0.6640 0.1722
H 0.5083 0.3360 0.8278
H 0.3612 0.8636 0.2283



(8)
CeZrZnIr: relaxed, PBE-GGA.

Cell: 4.8678 4.8678 4.8678 Å, 60.00 60.00 60.00°
Atoms (fractional coordinates):
Zr 0.2500 0.2500 0.2500
Ir 0.0000 0.0000 0.0000
Ce 0.7500 0.7500 0.7500
Zn 0.5000 0.5000 0.5000

## Properties
calculated formation energy = -0.365 eV/atom



(9)
Ba2LiSb2: relaxed, PBE-GGA.

Cell: 8.4008 8.4008 5.1546 Å, 90.00 90.00 90.00°
Atoms (fractional coordinates):
Li 0.0000 0.0000 0.0000
Li 0.5000 0.5000 0.0000
Ba 0.8240 0.3240 0.5000
Ba 0.1760 0.6760 0.5000
Ba 0.6760 0.8240 0.5000
Ba 0.3240 0.1760 0.5000
Sb 0.6238 0.1238 0.0000
Sb 0.8762 0.6238 0.0000
Sb 0.1238 0.3762 0.0000
Sb 0.3762 0.8762 0.0000

## Properties
relative energy among the computed polymorphs = 0.00 kcal/mol of atoms



(10)
NaYSe3: relaxed, PBE-GGA.

Cell: 5.0487 5.0487 5.0487 Å, 90.00 90.00 90.00°
Atoms (fractional coordinates):
Se 0.0000 0.5000 0.0000
Se 0.0000 0.0000 0.5000
Se 0.5000 0.0000 0.0000
Na 0.0000 0.0000 0.0000
Y 0.5000 0.5000 0.5000

## Properties
relative energy among the computed polymorphs = 14.16 kcal/mol of atoms



(11)
Cd8Ir: relaxed, PBE-GGA.

Cell: 6.9584 6.9584 6.9584 Å, 95.20 95.20 144.97°
Atoms (fractional coordinates):
Cd 0.6584 0.6584 0.3168
Cd 0.6744 0.0000 0.6744
Cd 0.6584 0.3416 0.0000
Cd 0.0000 0.3256 0.3256
Cd 0.3256 0.0000 0.3256
Cd 0.3416 0.6584 0.0000
Cd 0.0000 0.6744 0.6744
Cd 0.3416 0.3416 0.6832
Ir 0.0000 0.0000 0.0000

## Properties
calculated formation energy = 0.071 eV/atom



(12)
SmErPb6: relaxed, PBE-GGA.

Cell: 4.8883 4.8883 9.7818 Å, 90.00 90.00 90.00°
Atoms (fractional coordinates):
Pb 0.0000 0.5000 0.2466
Pb 0.5000 0.5000 0.0000
Pb 0.5000 0.0000 0.7534
Pb 0.0000 0.5000 0.7534
Pb 0.5000 0.5000 0.5000
Pb 0.5000 0.0000 0.2466
Er 0.0000 0.0000 0.0000
Sm 0.0000 0.0000 0.5000

## Properties
calculated formation energy = -0.292 eV/atom



(13)
Ca2Pb5F12: relaxed, PBE-GGA.

Cell: 7.3753 7.9793 7.4573 Å, 103.80 90.00 117.53°
Atoms (fractional coordinates):
Ca 0.7531 0.0000 0.0000
Ca 0.2469 0.0000 0.0000
F 0.3788 0.3263 0.1337
F 0.9474 0.3263 0.1337
F 0.4996 0.9991 0.8140
F 0.0587 0.7068 0.4080
F 0.0169 0.0338 0.8278
F 0.5004 0.0009 0.1860
F 0.3519 0.2932 0.5920
F 0.9831 0.9662 0.1722
F 0.0526 0.6737 0.8663
F 0.6481 0.7068 0.4080
F 0.9413 0.2932 0.5920
F 0.6212 0.6737 0.8663
Pb 0.0000 0.0000 0.5000
Pb 0.2942 0.5885 0.2069
Pb 0.2858 0.5717 0.6668
Pb 0.7058 0.4115 0.7931
Pb 0.7141 0.4283 0.3332



(14)
Al6CuRu5: relaxed, PBE-GGA.

Cell: 4.2171 6.1196 7.3128 Å, 114.74 106.80 90.00°
Atoms (fractional coordinates):
Cu 0.0000 0.0000 0.0000
Al 0.8289 0.0868 0.6578
Al 0.8289 0.5709 0.6578
Al 0.1711 0.4291 0.3422
Al 0.1711 0.9132 0.3422
Al 0.5000 0.2673 0.0000
Al 0.5000 0.7327 0.0000
Ru 0.0000 0.5000 0.0000
Ru 0.6689 0.6690 0.3381
Ru 0.3452 0.8454 0.6908
Ru 0.3311 0.3310 0.6619
Ru 0.6548 0.1546 0.3092

## Properties
calculated formation energy = -0.658 eV/atom



(15)
SrNi2Pt2: relaxed, PBE-GGA.

Cell: 4.3019 4.3019 5.9084 Å, 68.65 68.65 90.00°
Atoms (fractional coordinates):
Ni 0.2500 0.7500 0.5000
Ni 0.7500 0.2500 0.5000
Pt 0.3740 0.3740 0.2519
Pt 0.6260 0.6260 0.7481
Sr 0.0000 0.0000 0.0000

## Properties
calculated formation energy = -0.237 eV/atom
relative energy among the computed polymorphs = 0.00 kcal/mol of atoms



(16)
Nd4CdRu: relaxed, PBE-GGA.

Cell: 6.3922 9.4040 7.9226 Å, 115.47 99.38 113.90°
Atoms (fractional coordinates):
Cd 0.6276 0.3776 0.7552
Cd 0.3724 0.6224 0.2448
Nd 0.2301 0.6297 0.8308
Nd 0.7674 0.7238 0.6654
Nd 0.2326 0.2762 0.3346
Nd 0.6020 0.0584 0.3346
Nd 0.1007 0.2011 0.8308
Nd 0.3980 0.9416 0.6654
Nd 0.8993 0.7989 0.1692
Nd 0.7699 0.3703 0.1692
Ru 0.2494 0.9994 0.9989
Ru 0.7506 0.0006 0.0011

## Properties
calculated formation energy = -0.210 eV/atom
relative energy among the computed polymorphs = 1.29 kcal/mol of atoms



(17)
Nd4AgHg2Pd: relaxed, PBE-GGA.

Cell: 5.3336 5.3336 9.1924 Å, 73.14 73.14 60.00°
Atoms (fractional coordinates):
Nd 0.1287 0.1287 0.6138
Nd 0.8713 0.8713 0.3862
Nd 0.6202 0.6202 0.1395
Nd 0.3798 0.3798 0.8605
Ag 0.0000 0.0000 0.0000
Hg 0.7447 0.7447 0.7658
Hg 0.2553 0.2553 0.2342
Pd 0.5000 0.5000 0.5000

## Properties
calculated formation energy = -0.472 eV/atom



(18)
IrRu3: relaxed, PBE-GGA.

Cell: 2.7091 4.6953 4.6936 Å, 99.68 90.00 73.23°
Atoms (fractional coordinates):
Ru 0.2497 0.5007 0.2522
Ru 0.7503 0.4993 0.7478
Ru 0.5000 0.0000 0.5000
Ir 0.0000 0.0000 0.0000

## Properties
calculated formation energy = 0.035 eV/atom



(19)
Ba3IO3: relaxed, PBE-GGA.

Cell: 4.4741 8.0091 12.0998 Å, 82.46 79.35 73.78°
Atoms (fractional coordinates):
O 0.3225 0.3237 0.0313
O 0.6775 0.6763 0.9687
O 0.6949 0.0168 0.5934
O 0.9420 0.9144 0.2016
O 0.0580 0.0856 0.7984
O 0.3051 0.9832 0.4066
Ba 0.1207 0.1893 0.5693
Ba 0.8689 0.3500 0.9121
Ba 0.6465 0.9088 0.7982
Ba 0.1311 0.6500 0.0879
Ba 0.8793 0.8107 0.4307
Ba 0.3535 0.0912 0.2018
I 0.6165 0.4446 0.3225
I 0.3835 0.5554 0.6775



(20)
YBe2P: relaxed, PBE-GGA.

Cell: 3.7234 3.7234 5.2649 Å, 69.90 69.90 58.75°
Atoms (fractional coordinates):
Be 0.4584 0.4584 0.6413
Be 0.0415 0.0415 0.8587
Y 0.2500 0.2500 0.2500
P 0.7500 0.7500 0.7500

## Properties
calculated formation energy = -0.244 eV/atom



(21)
K6HgBr8: relaxed, PBE-GGA.

Cell: 8.6138 8.6138 8.6138 Å, 69.17 69.17 69.17°
Atoms (fractional coordinates):
Br 0.0977 0.8383 0.3211
Br 0.3211 0.0977 0.8383
Br 0.6789 0.9023 0.1617
Br 0.8383 0.3211 0.0977
Br 0.9023 0.1617 0.6789
Br 0.1617 0.6789 0.9023
Br 0.3411 0.3411 0.3411
Br 0.6589 0.6589 0.6589
K 0.6995 0.0583 0.4765
K 0.9417 0.5235 0.3005
K 0.3005 0.9417 0.5235
K 0.0583 0.4765 0.6995
K 0.4765 0.6995 0.0583
K 0.5235 0.3005 0.9417
Hg 0.0000 0.0000 0.0000



(22)
Tc6IrOs2: relaxed, PBE-GGA.

Cell: 6.8122 6.9833 6.8122 Å, 65.17 84.37 65.17°
Atoms (fractional coordinates):
Tc 0.0209 0.3143 0.1814
Tc 0.3881 0.3570 0.0592
Tc 0.8186 0.1857 0.9791
Tc 0.9791 0.6857 0.8186
Tc 0.6119 0.6430 0.9408
Tc 0.4018 0.5514 0.6535
Tc 0.3465 0.9486 0.5982
Tc 0.1814 0.8143 0.0209
Tc 0.6535 0.0514 0.4018
Tc 0.9408 0.1430 0.6119
Tc 0.0592 0.8570 0.3881
Tc 0.5982 0.4486 0.3465
Os 0.5938 0.0677 0.7920
Os 0.2080 0.4323 0.4062
Os 0.7920 0.5677 0.5938
Os 0.4062 0.9323 0.2080
Ir 0.1723 0.2500 0.8277
Ir 0.8277 0.7500 0.1723

## Properties
calculated formation energy = 0.096 eV/atom



(23)
LiAgHRh2: relaxed, PBE-GGA.

Cell: 3.8405 3.8405 4.1602 Å, 90.00 90.00 90.00°
Atoms (fractional coordinates):
Li 0.0000 0.0000 0.5000
Rh 0.0000 0.5000 0.0000
Rh 0.5000 0.0000 0.0000
H 0.0000 0.0000 0.0000
Ag 0.5000 0.5000 0.5000

## Properties
relative energy among the computed polymorphs = 0.00 kcal/mol of atoms



(24)
Tm6As2PdSe3: relaxed, PBE-GGA.

Cell: 4.0121 8.1620 9.0929 Å, 103.56 102.75 90.00°
Atoms (fractional coordinates):
Tm 0.6700 0.5761 0.3399
Tm 0.3300 0.4239 0.6601
Tm 0.6641 0.0881 0.3282
Tm 0.0010 0.2397 0.0019
Tm 0.9990 0.7603 0.9981
Tm 0.3359 0.9119 0.6718
Se 0.1698 0.8315 0.3396
Se 0.8302 0.1685 0.6604
Se 0.5000 0.5000 0.0000
As 0.1661 0.3332 0.3321
As 0.8339 0.6668 0.6679
Pd 0.5000 0.0000 0.0000



no.,total energy (eV per atom)
1,-8.00
2,-4.85
3,-8.68
4,-6.09
5,-3.99
6,-4.59
7,-2.41
8,-6.52
9,-3.59
10,-3.89
11,-1.73
12,-4.23
13,-4.96
14,-6.74
15,-5.30
16,-5.09
17,-3.94
18,-9.14
19,-5.34
20,-5.08
21,-2.80
22,-10.29
23,-4.60
24,-5.81